! GGA-PBEsol Li2Ni, optimized geometry; values from VASP
! DFT formation energy: 0.083 eV/atom
! E_tot: -9.8 eV/f.u.
! Magnetization: 0.00 μB per formula unit
! Space group: I4/mmm (139)
&SYSTEM
  ibrav = 0, nat = 3, ntyp = 2
/
ATOMIC_SPECIES
Li 6.94 Li.upf
Ni 58.69 Ni.upf
CELL_PARAMETERS angstrom
-1.255 1.255 6.132
1.255 -1.255 6.132
1.255 1.255 -6.132
ATOMIC_POSITIONS crystal
Li 0.146 0.146 0.000
Li 0.854 0.854 0.000
Ni 0.500 0.500 0.000